No. 1
VASP calculation (GGA-PBE) on TbIn3Ni2 after structural relaxation.

Output
spin magnetization	0.0	μB/f.u.
energy of formation from the pure elements	-0.25	eV/atom
VASP energy	-77.7	eV for the cell shown

Lattice parameters (Å, degrees): 8.8746 8.8746 10.4788 108.91 108.91 28.06
Closest atoms and distances in Å follow each position.
Fractional positions:
Tb  0.0000  0.0000  0.0000  6 In 3.22-3.39, 6 Ni 3.24-3.26
Tb  0.1583  0.1583  0.7004  6 Ni 3.31-3.48, 9 In 3.32-3.65
Tb  0.8417  0.8417  0.2996  6 Ni 3.31-3.48, 9 In 3.32-3.65
In  0.0410  0.0410  0.3393  4 Ni 2.55-2.68
In  0.2214  0.2214  0.3889  4 Ni 2.53-2.80
In  0.3279  0.3279  0.0491  4 Ni 2.59-2.77, 1 In 2.87
In  0.3745  0.3745  0.8102  4 Ni 2.62-2.69, 1 In 2.87
In  0.5000  0.5000  0.5000  4 Ni 2.55-2.85
In  0.6255  0.6255  0.1898  4 Ni 2.62-2.69, 1 In 2.87
In  0.6721  0.6721  0.9509  4 Ni 2.59-2.77, 1 In 2.87
In  0.7786  0.7786  0.6111  4 Ni 2.53-2.80
In  0.9590  0.9590  0.6607  4 Ni 2.55-2.68
Ni  0.1993  0.1993  0.1263  6 In 2.60-2.77
Ni  0.3666  0.3666  0.5561  7 In 2.53-2.80
Ni  0.4771  0.4771  0.2178  5 In 2.55-2.85
Ni  0.5229  0.5229  0.7822  5 In 2.55-2.85
Ni  0.6334  0.6334  0.4439  7 In 2.53-2.80
Ni  0.8007  0.8007  0.8737  6 In 2.60-2.77

***

No. 2
VASP calculation (GGA-PBE) on La3PmY2Er6 after structural relaxation.

Output
spin magnetization	0.0	μB/f.u.
energy of formation from the pure elements	0.02	eV/atom
VASP energy	-59.6	eV for the cell shown

Lattice parameters (Å, degrees): 6.2282 6.2282 11.8220 95.02 95.02 120.00
Closest atoms and distances in Å follow each position.
Fractional positions:
La  0.0000  0.0000  0.0000  6 La 3.60, 6 Er 3.61
La  0.3334  0.6666  0.0000  6 La 3.59-3.60, 6 Er 3.61
La  0.6666  0.3334  0.0000  6 La 3.59-3.60, 6 Er 3.61
Pm  0.5000  0.5000  0.5000  6 Er 3.54, 6 Y 3.59-3.60
Y  0.1668  0.8332  0.5000  6 Er 3.54, 3 Y 3.59-3.60, 3 Pm 3.59-3.60
Y  0.8332  0.1668  0.5000  6 Er 3.54, 3 Y 3.59-3.60, 3 Pm 3.59-3.60
Er  0.0844  0.4175  0.2539  2 Y 3.54, 1 Pm 3.54, 6 Er 3.59-3.60, 3 La 3.61
Er  0.2493  0.2493  0.7462  1 Pm 3.54, 2 Y 3.54, 6 Er 3.59-3.60, 3 La 3.61
Er  0.4175  0.0844  0.2539  2 Y 3.54, 1 Pm 3.54, 6 Er 3.59-3.60, 3 La 3.61
Er  0.5825  0.9156  0.7461  2 Y 3.54, 1 Pm 3.54, 6 Er 3.59-3.60, 3 La 3.61
Er  0.7507  0.7507  0.2538  1 Pm 3.54, 2 Y 3.54, 6 Er 3.59-3.60, 3 La 3.61
Er  0.9156  0.5825  0.7461  2 Y 3.54, 1 Pm 3.54, 6 Er 3.59-3.60, 3 La 3.61

***

Quick rundown of volume, same order as above: 366 391 Å³ per cell